Record 1
CoOsPt | PBE-GGA | optimized geometry

Cell and atoms, written as extended XYZ:
```
3
Lattice="-3.075 0.599 3.432 -3.562 -2.937 0.527 4.618 0.476 -0.211" Properties=species:S:1:pos:R:3 pbc="T T T"
Co -6.571 -2.314 3.918
Os -2.282 -0.804 1.361
Pt -4.423 -1.558 2.637
```

Summary:
Its space-group type is Imm2. As for the total energy: -8.010 eV/atom. The formation energy is 0.115 eV per atom. As for the size of the total moment: 0.51 μB/f.u. Its energy relative to the lowest polymorph listed for this composition is 31 meV/atom.

Record 2
CoOsPt2 | PBE-GGA | optimized geometry

Cell and atoms, written as extended XYZ:
```
8
Lattice="6.845 0.000 0.000 0.000 6.845 0.000 3.423 3.423 2.653" Properties=species:S:1:pos:R:3 pbc="T T T"
Co 3.423 3.423 0.000
Co 3.423 6.845 1.326
Os 0.000 0.000 0.000
Os 6.845 3.423 1.326
Pt 5.063 1.711 0.663
Pt 1.782 5.134 0.663
Pt 5.134 5.205 1.989
Pt 8.557 8.486 1.989
```

Summary:
Its space-group type is I-42d. As for the total energy: -6.934 eV/atom. The formation energy is 0.671 eV per atom. As for the size of the total moment: 1.54 μB/f.u. Its energy relative to the lowest polymorph listed for this composition is 657 meV/atom.

Record 3
CoOsPt2 | PBE-GGA | optimized geometry

Cell and atoms, written as extended XYZ:
```
4
Lattice="4.701 0.003 -0.005 3.920 2.595 -0.005 0.792 0.239 4.667" Properties=species:S:1:pos:R:3 pbc="T T T"
Co 4.752 1.432 2.302
Os 2.298 0.693 1.181
Pt 8.592 2.590 0.065
Pt 7.098 2.139 3.429
```

Summary:
Its space-group type is Cm. As for the total energy: -7.539 eV/atom. The formation energy is 0.066 eV per atom. As for the size of the total moment: 1.62 μB/f.u. Its energy relative to the lowest polymorph listed for this composition is 52 meV/atom.

Record 4
CoOs2Pt | PBE-GGA | optimized geometry

Cell and atoms, written as extended XYZ:
```
4
Lattice="4.666 0.001 -0.005 3.887 2.581 -0.005 0.767 0.232 4.612" Properties=species:S:1:pos:R:3 pbc="T T T"
Co 2.354 0.711 1.122
Os 9.306 2.810 4.574
Os 6.980 2.108 3.563
Pt 4.657 1.406 2.244
```

Summary:
Its space-group type is Cm. As for the total energy: -8.765 eV/atom. The formation energy is 0.137 eV per atom. As for the size of the total moment: 1.31 μB/f.u. Its energy relative to the lowest polymorph listed for this composition is 48 meV/atom.